No. 1
Rb3AgAs2O8 PBE-GGA optimized geometry; space group = P-3m1; ΔE_f (raw) = -1626.9 kJ/mol of formula units; energy = -5.113 eV per atom
1.0
-4.286 -1.170 4.026
2.167 -4.408 -3.438
5.653 -1.560 5.564
O Rb Ag As
8 3 1 2
Cartesian
3.233 -3.731 6.821
0.302 -3.407 -0.669
0.791 -4.914 1.571
1.720 -4.920 4.865
0.673 -2.790 6.526
2.862 -4.349 -0.374
1.815 -2.219 1.287
2.744 -2.224 4.581
4.011 -4.431 2.982
-0.476 -2.707 3.170
0.000 0.000 0.000
2.827 -0.780 2.782
1.496 -3.737 0.506
2.039 -3.401 5.646



No. 2
Ta2CdAs PBE-GGA optimized geometry; space group = Pmmm; DFT formation energy = 276 meV per atom; energy = -7.042 eV per atom
1.0
-0.503 1.660 -3.045
-3.648 -2.770 -0.907
-2.725 2.920 2.042
Ta Cd As
2 1 1
Cartesian
0.000 0.000 0.000
-2.076 -0.555 -1.976
-3.187 0.075 0.567
-1.614 2.290 -0.502



No. 3
SrTaCr2Te PBE-GGA optimized geometry; space group = P4/mmm; ΔE_f (raw) = 1327.8 kJ/mol of formula units; energy = -4.432 eV per atom
1.0
-2.533 -3.032 -2.310
3.274 -3.784 1.377
-2.489 -0.785 3.760
Cr Sr Te Ta
2 1 1 1
Cartesian
-1.267 -1.516 -1.155
-1.244 -0.392 1.880
0.000 0.000 0.000
-0.874 -3.801 1.414
1.637 -1.892 0.689



No. 4
Ni2TeW PBE-GGA optimized geometry; space group = Cm; ΔE_f (raw) = 143.8 kJ/mol of formula units; energy = -6.542 eV per atom
1.0
-0.861 -4.271 0.583
1.991 -3.754 -1.125
2.463 -1.112 3.777
W Ni Te
1 2 1
Cartesian
0.783 -2.325 0.604
3.556 -9.109 3.182
2.767 -6.802 2.563
1.876 -4.604 1.740



No. 5
TmBe4SiIr2 PBE-GGA optimized geometry; space group = R-3m; ΔE_f (raw) = -256.1 kJ/mol of formula units; energy = -5.647 eV per atom
1.0
-1.230 -3.527 1.180
2.604 -2.737 1.037
0.206 0.465 8.110
Ir Tm Be Si
2 1 4 1
Cartesian
0.380 -1.298 3.021
1.200 -4.501 7.306
0.000 0.000 0.000
1.280 -5.319 4.946
0.299 -0.480 5.381
0.861 -3.617 3.093
0.719 -2.182 7.234
0.790 -2.899 5.164



No. 6
RbAlSe2 PBE-GGA optimized geometry; space group = P-1; ΔE_f (raw) = -422.5 kJ/mol of formula units; energy = -4.015 eV per atom
1.0
-7.205 -2.549 0.502
-0.136 -3.043 -2.505
5.044 -3.338 6.889
Al Se Rb
2 4 2
Cartesian
-1.168 -4.220 3.909
-0.852 -6.126 6.207
-2.865 -5.240 5.244
-1.326 -4.799 1.517
-5.872 -5.252 -0.795
0.846 -5.106 4.873
2.120 -3.043 2.184
-1.977 -1.416 0.541